Computed, not measured: an optimized crystal structure of ScZnPO at the PBE-GGA level of DFT.

The structure belongs to space group P4/nmm (No. 129, origin choice 2); the cell edges are 3.7428, 3.7428 and 8.4070 Å and the angles 90.00°, 90.00° and 90.00°. Symmetry generates all atoms from Sc at (0.2500, 0.2500, 0.1161), Zn at (0.2500, 0.7500, 0.5000), P at (0.2500, 0.2500, 0.6875) and O at (0.2500, 0.7500, 0.0000).

The value obtained for the total energy is -6.156 eV/atom. For the density, the calculation gives 4.44 g/cm³.